# 1
Entry from Alexandria: a relaxed structure of Er2AgS (PBE).

Geometry as POSCAR:
```
Er2AgS
1.0
-2.3090 2.5121 1.0579
-2.1364 -0.6024 2.7990
4.9373 4.1544 6.9422
S Ag Er
1 1 2
Cartesian
0.2460 3.0320 5.3996
0.0000 0.0000 0.0000
2.8916 3.0333 5.1395
-2.3996 3.0308 5.6596
```

Computed properties:
Space-group type: R-3m, No. 166
Fermi-level density of states (states/eV per cell): 2.056
Raw formation energy (eV/atom): -0.61
Excess energy over the best structure of this formula in the dataset (meV/atom): 506



# 2
Entry from Alexandria: a relaxed structure of Er6AgS4 (PBE).

Geometry as POSCAR:
```
Er6AgS4
1.0
3.8705 0.0000 0.0000
-1.9353 6.3878 0.0000
0.0000 0.0000 19.9577
Er Ag S
12 2 8
Cartesian
1.9353 0.0000 0.0000
1.9353 0.0000 9.9788
0.0000 0.5857 6.7588
1.9353 5.8021 13.1989
1.9353 5.8021 16.7376
0.0000 0.5857 3.2201
1.9353 3.4823 8.2629
0.0000 2.9055 11.6948
0.0000 2.9055 18.2418
1.9353 3.4823 1.7159
0.0000 4.2971 4.9894
1.9353 2.0907 14.9683
1.9353 2.0574 4.9894
0.0000 4.3304 14.9683
1.9353 4.6180 10.7509
0.0000 5.2324 2.4347
0.0000 1.7698 9.2068
1.9353 1.1554 17.5230
1.9353 4.6180 19.1857
0.0000 1.7698 0.7720
1.9353 1.1554 12.4135
0.0000 5.2324 7.5442
```

Computed properties:
Space-group type: Cmcm, No. 63
Fermi-level density of states (states/eV per cell): 10.567
Raw formation energy (eV/atom): -1.50



# 3
Entry from Alexandria: a relaxed structure of ErAg2S3 (PBE).

Geometry as POSCAR:
```
ErAg2S3
1.0
-5.0632 -0.0554 -1.1661
1.1120 -5.6976 -4.5574
-1.5824 -1.8790 6.9595
Er Ag S
2 4 6
Cartesian
-2.1537 -2.8771 3.6995
-3.3799 -4.7549 -2.4635
-0.1037 -1.6698 0.5294
-2.6353 -1.6975 -0.0537
-0.3667 -5.9068 1.8727
-2.8983 -5.9345 1.2896
-5.0223 -2.4271 4.5571
-4.3828 -1.7154 1.7466
-0.9661 -2.9421 -1.4537
-4.5675 -4.6899 2.6897
-1.1508 -5.9166 -0.5107
-0.5113 -5.2049 -3.3211
```

Computed properties:
Space-group type: Cmcm, No. 63
Fermi-level density of states (states/eV per cell): 6.582
Raw formation energy (eV/atom): -0.52